Arrangement a

Below is Ho4Ru2Rh after structural relaxation, with properties calculated at the PBE-GGA level.

Geometry as POSCAR:
```
Ho4Ru2Rh
1.0
6.771 0.000 0.000
0.000 6.771 0.000
0.000 0.000 6.775
Ho Ru Rh
8 4 2
Direct
0.250 0.250 0.250
0.250 0.250 0.750
0.250 0.750 0.250
0.250 0.750 0.750
0.750 0.250 0.250
0.750 0.250 0.750
0.750 0.750 0.250
0.750 0.750 0.750
0.000 0.500 0.000
0.000 0.500 0.500
0.500 0.000 0.000
0.500 0.000 0.500
0.000 0.000 0.000
0.500 0.500 0.500
```

Output
Space-group type: I4/mmm

Arrangement b

Below is Ho4Ru2Rh after structural relaxation, with properties calculated at the PBE-GGA level.

Geometry as POSCAR:
```
Ho4Ru2Rh
1.0
-4.245 4.245 4.253
4.245 -4.245 4.253
4.245 4.245 -4.253
Ho Ru Rh
8 4 2
Direct
0.128 0.243 0.750
0.128 0.743 0.750
0.257 0.007 0.385
0.493 0.378 0.250
0.622 0.872 0.115
0.622 0.872 0.615
0.757 0.507 0.885
0.993 0.378 0.250
0.247 0.625 0.122
0.375 0.497 0.622
0.503 0.125 0.878
0.875 0.753 0.378
0.000 0.000 0.000
0.750 0.250 0.500
```

Output
Space-group type: I-42d

Here are the energies relative to the best structure, in meV per atom: arrangement a 0; arrangement b 83.

Arrangement a

Below is Ho6Ru2Rh after structural relaxation, with properties calculated at the PBE-GGA level.

Geometry as POSCAR:
```
Ho6Ru2Rh
1.0
6.580 0.000 0.000
0.000 7.247 0.000
-6.195 0.000 9.436
Ho Ru Rh
12 4 2
Direct
0.074 0.039 0.239
0.074 0.461 0.739
0.223 0.670 0.073
0.223 0.830 0.573
0.396 0.170 0.073
0.396 0.330 0.573
0.604 0.670 0.427
0.604 0.830 0.927
0.777 0.170 0.427
0.777 0.330 0.927
0.926 0.539 0.261
0.926 0.961 0.761
0.315 0.135 0.782
0.315 0.365 0.282
0.685 0.635 0.718
0.685 0.865 0.218
0.500 0.000 0.500
0.500 0.500 0.000
```

Output
Space-group type: P2_1/c

Arrangement b

Below is Ho6Ru2Rh after structural relaxation, with properties calculated at the PBE-GGA level.

Geometry as POSCAR:
```
Ho6Ru2Rh
1.0
0.000 6.479 7.177
2.392 0.000 7.177
2.392 6.479 0.000
Ho Ru Rh
6 2 1
Direct
0.128 0.872 0.128
0.204 0.460 0.540
0.460 0.204 0.796
0.540 0.796 0.204
0.796 0.540 0.460
0.872 0.128 0.872
0.166 0.166 0.834
0.834 0.834 0.166
0.500 0.500 0.500
```

Output
Space-group type: Fmmm

Here are the energies relative to the best structure, in meV per atom: arrangement a 17; arrangement b 0.

Arrangement a

Below is Ho3RuRh after structural relaxation, with properties calculated at the PBE-GGA level.

Geometry as POSCAR:
```
Ho3RuRh
1.0
3.376 1.949 6.318
-3.376 1.949 6.318
0.000 -3.898 6.318
Ho Ru Rh
6 2 2
Direct
0.097 0.403 0.746
0.254 0.903 0.597
0.403 0.746 0.097
0.597 0.254 0.903
0.746 0.097 0.403
0.903 0.597 0.254
0.328 0.328 0.328
0.672 0.672 0.672
0.171 0.171 0.171
0.829 0.829 0.829
```

Output
Space-group type: R-3

Arrangement b

Below is Ho3RuRh after structural relaxation, with properties calculated at the PBE-GGA level.

Geometry as POSCAR:
```
Ho3RuRh
1.0
8.529 0.000 0.000
0.000 7.323 0.000
-2.923 0.000 7.318
Ho Ru Rh
12 4 4
Direct
0.028 0.008 0.212
0.028 0.492 0.712
0.281 0.657 0.103
0.281 0.843 0.603
0.363 0.197 0.966
0.363 0.303 0.466
0.637 0.697 0.534
0.637 0.803 0.034
0.719 0.157 0.397
0.719 0.343 0.897
0.972 0.508 0.288
0.972 0.992 0.788
0.101 0.179 0.562
0.101 0.321 0.062
0.899 0.679 0.938
0.899 0.821 0.438
0.388 0.524 0.792
0.388 0.976 0.292
0.612 0.024 0.708
0.612 0.476 0.208
```

Output
Space-group type: P2_1/c

Here are the energies relative to the best structure, in meV per atom: arrangement a 76; arrangement b 0.

Arrangement a

Below is Ho4RuRh2 after structural relaxation, with properties calculated at the PBE-GGA level.

Geometry as POSCAR:
```
Ho4RuRh2
1.0
6.753 0.000 0.000
0.000 6.753 0.000
0.000 0.000 6.852
Ho Ru Rh
8 2 4
Direct
0.250 0.250 0.250
0.250 0.250 0.750
0.250 0.750 0.250
0.250 0.750 0.750
0.750 0.250 0.250
0.750 0.250 0.750
0.750 0.750 0.250
0.750 0.750 0.750
0.000 0.000 0.000
0.500 0.500 0.500
0.000 0.500 0.000
0.000 0.500 0.500
0.500 0.000 0.000
0.500 0.000 0.500
```

Output
Space-group type: I4/mmm

Arrangement b

Below is Ho4RuRh2 after structural relaxation, with properties calculated at the PBE-GGA level.

Geometry as POSCAR:
```
Ho4RuRh2
1.0
7.368 0.000 0.000
-2.440 6.953 0.000
-2.416 -3.508 6.055
Ho Ru Rh
8 2 4
Direct
0.000 0.000 0.000
0.010 0.537 0.012
0.118 0.910 0.491
0.361 0.777 0.864
0.489 0.399 0.092
0.506 0.406 0.636
0.591 0.909 0.500
0.898 0.307 0.409
0.062 0.222 0.751
0.427 0.086 0.250
0.252 0.476 0.332
0.683 0.157 0.935
0.736 0.829 0.169
0.813 0.657 0.565
```

Output
Space-group type: P1

Here are the energies relative to the best structure, in meV per atom: arrangement a 0; arrangement b 17.

Arrangement a

Below is Ho8Ru2Rh after structural relaxation, with properties calculated at the PBE-GGA level.

Geometry as POSCAR:
```
Ho8Ru2Rh
1.0
8.664 -2.414 0.000
8.664 2.414 0.000
-2.021 0.000 6.517
Ho Ru Rh
8 2 1
Direct
0.032 0.032 0.290
0.204 0.204 0.815
0.331 0.331 0.534
0.404 0.404 0.044
0.596 0.596 0.956
0.669 0.669 0.466
0.796 0.796 0.185
0.968 0.968 0.710
0.185 0.185 0.201
0.815 0.815 0.799
0.500 0.500 0.500
```

Output
Space-group type: C2/m

Arrangement b

Below is Ho8Ru2Rh after structural relaxation, with properties calculated at the PBE-GGA level.

Geometry as POSCAR:
```
Ho8Ru2Rh
1.0
4.126 -6.290 0.000
4.126 6.290 0.000
-1.969 0.000 5.500
Ho Ru Rh
8 2 1
Direct
0.000 0.000 0.000
0.024 0.283 0.586
0.146 0.572 0.187
0.283 0.024 0.586
0.441 0.700 0.781
0.572 0.146 0.187
0.700 0.441 0.781
0.723 0.723 0.378
0.056 0.675 0.692
0.675 0.056 0.692
0.360 0.360 0.301
```

Output
Space-group type: Cm

Here are the energies relative to the best structure, in meV per atom: arrangement a 0; arrangement b 43.

Arrangement a

Below is SmHoRuRh after structural relaxation, with properties calculated at the PBE-GGA level.

Geometry as POSCAR:
```
SmHoRuRh
1.0
3.441 0.000 0.000
0.000 3.441 0.000
0.000 0.000 6.866
Sm Ho Ru Rh
1 1 1 1
Direct
0.000 0.000 0.000
0.000 0.000 0.508
0.500 0.500 0.748
0.500 0.500 0.262
```

Output
Space-group type: P4mm

Arrangement b

Below is SmHoRuRh after structural relaxation, with properties calculated at the PBE-GGA level.

Geometry as POSCAR:
```
SmHoRuRh
1.0
6.883 0.000 0.000
0.000 6.883 0.000
0.000 0.000 6.883
Sm Ho Ru Rh
4 4 4 4
Direct
0.000 0.000 0.000
0.000 0.500 0.500
0.500 0.000 0.500
0.500 0.500 0.000
0.000 0.000 0.500
0.000 0.500 0.000
0.500 0.000 0.000
0.500 0.500 0.500
0.250 0.250 0.750
0.250 0.750 0.250
0.750 0.250 0.250
0.750 0.750 0.750
0.250 0.250 0.250
0.250 0.750 0.750
0.750 0.250 0.750
0.750 0.750 0.250
```

Output
Space-group type: F-43m

Here are the energies relative to the best structure, in meV per atom: arrangement a 0; arrangement b 16.